# CaPtF6, PBEsol geometry, DFT meta-GGA SCAN
# Calculated density   4.95 g/cm³
# Formation energy from raw total energies   -2538 meV per atom
data_CaPtF6
_cell_length_a 5.2490
_cell_length_b 5.2490
_cell_length_c 14.7296
_cell_angle_alpha 90.00
_cell_angle_beta 90.00
_cell_angle_gamma 120.00
_space_group_name_H-M_alt 'R -3'
_space_group_IT_number 148
_space_group_name_Hall '-R 3'
loop_
_atom_site_label
_atom_site_type_symbol
_atom_site_fract_x
_atom_site_fract_y
_atom_site_fract_z
Ca1 Ca 0.0000 0.0000 0.0000
Pt1 Pt 0.0000 0.0000 0.5000
F1 F 0.0021 0.3004 0.5777

# Fe4MoAu, PBEsol geometry, DFT meta-GGA SCAN
# Formation energy   0.3 eV per formula unit
# Calculated density   11.72 g/cm³
data_Fe4MoAu
_cell_length_a 6.6394
_cell_length_b 6.6394
_cell_length_c 6.6394
_cell_angle_alpha 90.00
_cell_angle_beta 90.00
_cell_angle_gamma 90.00
_space_group_name_H-M_alt 'F -4 3 m'
_space_group_IT_number 216
_space_group_name_Hall 'F -4 2 3'
loop_
_atom_site_label
_atom_site_type_symbol
_atom_site_fract_x
_atom_site_fract_y
_atom_site_fract_z
Fe1 Fe 0.1249 0.1249 0.1249
Mo1 Mo 0.2500 0.2500 0.7500
Au1 Au 0.0000 0.0000 0.5000

# LiBiAu2, PBEsol geometry, DFT meta-GGA SCAN
# Formation energy   -1.0 eV per formula unit
# Calculated density   12.93 g/cm³
data_LiBiAu2
_cell_length_a 6.7917
_cell_length_b 6.7917
_cell_length_c 6.7917
_cell_angle_alpha 90.00
_cell_angle_beta 90.00
_cell_angle_gamma 90.00
_space_group_name_H-M_alt 'F m -3 m'
_space_group_IT_number 225
_space_group_name_Hall '-F 4 2 3'
loop_
_atom_site_label
_atom_site_type_symbol
_atom_site_fract_x
_atom_site_fract_y
_atom_site_fract_z
Li1 Li 0.0000 0.0000 0.0000
Bi1 Bi 0.0000 0.0000 0.5000
Au1 Au 0.2500 0.2500 0.2500

# SrLiSb, PBEsol geometry, DFT meta-GGA SCAN
# Calculated density   4.50 g/cm³
# Formation energy from raw total energies   -1054 meV per atom
data_SrLiSb
_cell_length_a 7.9566
_cell_length_b 4.7891
_cell_length_c 8.3780
_cell_angle_alpha 90.00
_cell_angle_beta 90.00
_cell_angle_gamma 90.00
_space_group_name_H-M_alt 'P n m a'
_space_group_IT_number 62
_space_group_name_Hall '-P 2ac 2n'
loop_
_atom_site_label
_atom_site_type_symbol
_atom_site_fract_x
_atom_site_fract_y
_atom_site_fract_z
Sr1 Sr 0.0028 0.2500 0.2074
Li1 Li 0.1594 0.2500 0.5761
Sb1 Sb 0.2221 0.7500 0.4064

Number 1: magnetic moment 0.000 μB per cell. Number 2: magnetic moment 29.271 μB per cell. Number 3: magnetic moment 0.000 μB per cell. Number 4: magnetic moment 0.000 μB per cell.